This record from the Alexandria database describes an optimized crystal structure of ScCu2Te3. The functional is PBEsol.

Results
- Uncorrected formation energy: -0.5413 eV/atom
- Volume: 284.6 Å³ per cell

```
ScCu2Te3
1.0
-2.4025 0.9354 -2.9439
4.3993 -3.3660 -4.6598
-4.7014 -8.3858 3.7732
Cu Te Sc
4 6 2
direct
0.2885 0.5774 0.5771 Cu
0.7115 0.4226 0.4229 Cu
0.0463 0.1462 0.0927 Cu
0.9537 0.8538 0.9073 Cu
0.0792 0.8155 0.1584 Te
0.7485 0.7757 0.4970 Te
0.5839 0.3672 0.1678 Te
0.4161 0.6328 0.8322 Te
0.2515 0.2243 0.5030 Te
0.9208 0.1845 0.8416 Te
0.6508 0.0460 0.3015 Sc
0.3492 0.9540 0.6985 Sc
```